[1]
Cu3BiN | the Alexandria database | GGA-PBE | optimized geometry; VASP energy = -14.3 eV per cell; crystal system = cubic; energy relative to the lowest polymorph listed for this composition = 1.5338 eV/atom; space-group type = Pm-3m
1.0
-4.592 0.136 1.819
-1.806 -1.038 -4.481
0.259 -4.829 1.014
Bi Cu N
1 3 1
Direct
0.000 0.000 0.000 Bi
0.500 0.000 0.000 Cu
0.000 0.000 0.500 Cu
0.000 0.500 0.000 Cu
0.500 0.500 0.500 N

---

[2]
Ce2Pm2Hg7 | the Alexandria database | GGA-PBE | optimized geometry; VASP energy = -23.9 eV per cell; crystal system = orthorhombic; calculated formation energy = -0.04 eV/atom; space-group type = Cmmm
1.0
-6.429 2.881 -0.113
-0.061 -0.421 -7.246
-1.553 -6.860 0.412
Hg Ce Pm
7 2 2
Direct
0.000 0.000 0.000 Hg
0.500 0.292 0.000 Hg
0.500 0.709 0.500 Hg
0.500 0.708 0.000 Hg
0.000 0.708 0.500 Hg
0.000 0.292 0.500 Hg
0.500 0.291 0.500 Hg
0.707 0.000 0.293 Ce
0.293 0.000 0.707 Ce
0.804 0.500 0.804 Pm
0.196 0.500 0.196 Pm

---

[3]
LaAlCd | the Alexandria database | GGA-PBE | optimized geometry; VASP energy = -21.0 eV per cell; crystal system = tetragonal; calculated formation energy = -0.30 eV/atom; space-group type = P4/nmm
1.0
4.685 0.000 0.000
0.000 4.685 0.000
0.000 0.000 7.364
La Al Cd
2 2 2
Direct
0.500 0.000 0.807 La
0.000 0.500 0.193 La
0.000 0.000 0.500 Al
0.500 0.500 0.500 Al
0.000 0.500 0.725 Cd
0.500 0.000 0.275 Cd

---

[4]
TbY9Tm2 | the Alexandria database | GGA-PBE | optimized geometry; VASP energy = -71.4 eV per cell; crystal system = tetragonal; calculated formation energy = 0.03 eV/atom; space-group type = P4/mmm
1.0
-0.968 -0.178 -4.935
-4.873 -0.779 0.984
-2.395 14.902 -0.068
Tm Y Tb
2 9 1
Direct
0.000 0.000 0.666 Tm
0.000 0.000 0.334 Tm
0.000 0.500 0.168 Y
0.500 0.000 0.500 Y
0.500 0.500 0.334 Y
0.500 0.500 0.666 Y
0.500 0.500 0.000 Y
0.500 0.000 0.832 Y
0.500 0.000 0.168 Y
0.000 0.500 0.832 Y
0.000 0.500 0.500 Y
0.000 0.000 0.000 Tb

---

[5]
Tm2Al9Cu6 | the Alexandria database | GGA-PBE | optimized geometry; VASP energy = -71.0 eV per cell; crystal system = hexagonal; calculated formation energy = -0.22 eV/atom; space-group type = P6/mmm
1.0
5.292 0.000 0.000
-2.646 4.583 0.000
0.000 0.000 12.232
Tm Al Cu
2 9 6
Direct
0.000 0.000 0.666 Tm
0.000 0.000 0.334 Tm
0.000 0.500 0.836 Al
0.500 0.000 0.164 Al
0.000 0.500 0.164 Al
0.000 0.500 0.500 Al
0.500 0.500 0.500 Al
0.500 0.500 0.164 Al
0.500 0.500 0.836 Al
0.500 0.000 0.500 Al
0.500 0.000 0.836 Al
0.667 0.333 0.333 Cu
0.333 0.667 0.333 Cu
0.333 0.667 0.667 Cu
0.667 0.333 0.667 Cu
0.333 0.667 0.000 Cu
0.667 0.333 0.000 Cu

---

[6]
Pm3NdN4 | the Alexandria database | GGA-PBE | optimized geometry; VASP energy = -63.6 eV per cell; crystal system = cubic; space-group type = Pm-3m
1.0
5.125 0.000 0.000
0.000 5.125 0.000
0.000 0.000 5.125
Pm N Nd
3 4 1
Direct
0.500 0.500 0.000 Pm
0.500 0.000 0.500 Pm
0.000 0.500 0.500 Pm
0.000 0.000 0.500 N
0.500 0.500 0.500 N
0.000 0.500 0.000 N
0.500 0.000 0.000 N
0.000 0.000 0.000 Nd

---

[7]
Li2PbSe | the Alexandria database | GGA-PBE | optimized geometry; VASP energy = -13.5 eV per cell; crystal system = monoclinic; space-group type = P2/m
1.0
-1.693 3.264 -0.147
-3.216 -1.692 -0.525
-3.475 -1.547 5.687
Li Se Pb
2 1 1
Direct
0.000 0.511 0.554 Li
0.000 0.989 0.946 Li
0.500 0.750 0.750 Se
0.500 0.250 0.250 Pb

---

[8]
Pm4Pr2H2Pb3 | the Alexandria database | GGA-PBE | optimized geometry; VASP energy = -51.4 eV per cell; crystal system = tetragonal; space-group type = I4/mmm
1.0
-2.238 -3.872 1.832
3.259 -0.198 3.563
-8.034 9.846 4.617
Pm Pb Pr H
4 3 2 2
Direct
0.583 0.083 0.166 Pm
0.083 0.583 0.166 Pm
0.417 0.917 0.834 Pm
0.917 0.417 0.834 Pm
0.000 0.000 0.000 Pb
0.826 0.826 0.651 Pb
0.174 0.174 0.349 Pb
0.699 0.699 0.398 Pr
0.301 0.301 0.602 Pr
0.602 0.602 0.205 H
0.398 0.398 0.795 H

---

[9]
LiPm2ZnIr2 | the Alexandria database | GGA-PBE | optimized geometry; VASP energy = -67.4 eV per cell; crystal system = orthorhombic; calculated formation energy = -0.55 eV/atom; space-group type = Ibam
1.0
-2.444 -1.369 -5.007
5.206 -0.271 -2.467
-0.933 -6.284 5.461
Zn Li Pm Ir
2 2 4 4
Direct
0.500 0.750 0.000 Zn
0.500 0.250 0.000 Zn
0.000 0.750 0.000 Li
0.000 0.250 0.000 Li
0.415 0.170 0.340 Pm
0.076 0.330 0.660 Pm
0.585 0.830 0.660 Pm
0.924 0.670 0.340 Pm
0.864 0.122 0.244 Ir
0.136 0.878 0.756 Ir
0.621 0.378 0.756 Ir
0.379 0.622 0.244 Ir

---

[10]
VIn4I6 | the Alexandria database | GGA-PBE | optimized geometry; VASP energy = -68.6 eV per cell; crystal system = tetragonal; space-group type = P4/mnc
1.0
8.970 0.000 0.000
0.000 8.970 0.000
0.000 0.000 10.107
I In V
12 8 2
Direct
0.353 0.785 0.000 I
0.285 0.853 0.500 I
0.500 0.500 0.720 I
0.500 0.500 0.280 I
0.853 0.715 0.500 I
0.215 0.353 0.000 I
0.715 0.147 0.500 I
0.785 0.647 0.000 I
0.000 0.000 0.220 I
0.147 0.285 0.500 I
0.647 0.215 0.000 I
0.000 0.000 0.780 I
0.358 0.142 0.250 In
0.642 0.858 0.750 In
0.142 0.642 0.250 In
0.858 0.358 0.750 In
0.358 0.142 0.750 In
0.642 0.858 0.250 In
0.858 0.358 0.250 In
0.142 0.642 0.750 In
0.500 0.500 0.000 V
0.000 0.000 0.500 V

---

[11]
BaFeS2Cl | the Alexandria database | GGA-PBE | optimized geometry; VASP energy = -18.2 eV per cell; crystal system = tetragonal; energy relative to the lowest polymorph listed for this composition = 1.5858 eV/atom; space-group type = P4/mmm
1.0
-0.870 4.551 -3.721
-3.135 -3.541 -3.598
-4.880 1.410 2.865
S Ba Cl Fe
2 1 1 1
Direct
0.000 0.500 0.000 S
0.500 0.000 0.000 S
0.000 0.000 0.000 Ba
0.000 0.000 0.500 Cl
0.500 0.500 0.500 Fe

---

[12]
TlAsSe | the Alexandria database | GGA-PBE | optimized geometry; VASP energy = -9.7 eV per cell; crystal system = cubic; energy relative to the lowest polymorph listed for this composition = 0.2677 eV/atom; space-group type = F-43m
1.0
-0.494 0.616 -4.840
2.822 -2.549 -3.096
-1.963 -3.564 -2.737
As Se Tl
1 1 1
Direct
0.750 0.750 0.750 As
0.000 0.000 0.000 Se
0.500 0.500 0.500 Tl

---

Question: The highest VASP energy belongs to which entry?
Answer: TlAsSe